A plane-wave DFT calculation with GGA-PBE was carried out for a relaxed HoTm5As6 crystal.

Properties
Theoretical density ... 8.47 g/cm³
Space-group type ... C2/m (12)
Formation energy ... -1510.1 meV/atom
E ... -6.08 eV per atom

a = 7.0489 Å, b = 7.0489 Å, c = 7.0476 Å
α = 99.60°, β = 99.60°, γ = 119.98°
With the nearest neighbours (Å) after each atom.
Fractional coordinates of all 12 atoms:
Ho (0.0000, 0.0000, 0.0000)  6 As 2.89
Tm (0.1663, 0.8337, 0.5000)  6 As 2.87-2.88
Tm (0.3332, 0.6668, 0.0000)  6 As 2.88
Tm (0.5000, 0.5000, 0.5000)  6 As 2.87-2.88
Tm (0.6668, 0.3332, 0.0000)  6 As 2.88
Tm (0.8337, 0.1663, 0.5000)  6 As 2.87-2.88
As (0.0836, 0.4182, 0.2509)  5 Tm 2.87-2.88, 1 Ho 2.89
As (0.2512, 0.2512, 0.7493)  5 Tm 2.87-2.88, 1 Ho 2.89
As (0.4182, 0.0836, 0.2509)  5 Tm 2.87-2.88, 1 Ho 2.89
As (0.5818, 0.9164, 0.7491)  5 Tm 2.87-2.88, 1 Ho 2.89
As (0.7488, 0.7488, 0.2507)  5 Tm 2.87-2.88, 1 Ho 2.89
As (0.9164, 0.5818, 0.7491)  5 Tm 2.87-2.88, 1 Ho 2.89

---

A plane-wave DFT calculation with GGA-PBE was carried out for a relaxed Ho3TmAs4 crystal.

Properties
Theoretical density ... 8.26 g/cm³
Space-group type ... Cmmm (65)
Formation energy ... -1523.1 meV/atom
E ... -6.12 eV per atom

a = 7.0841 Å, b = 7.0841 Å, c = 4.0920 Å
α = 90.00°, β = 90.00°, γ = 109.46°
With the nearest neighbours (Å) after each atom.
Fractional coordinates of all 8 atoms:
Ho (0.0000, 0.0000, 0.0000)  6 As 2.90
Ho (0.0000, 0.5000, 0.5000)  6 As 2.89
Ho (0.5000, 0.0000, 0.5000)  6 As 2.89
Tm (0.5000, 0.5000, 0.0000)  6 As 2.88
As (0.2508, 0.7492, 0.0000)  1 Tm 2.88, 5 Ho 2.89-2.90
As (0.2516, 0.2516, 0.5000)  2 Tm 2.88, 4 Ho 2.89-2.90
As (0.7484, 0.7484, 0.5000)  2 Tm 2.88, 4 Ho 2.89-2.90
As (0.7492, 0.2508, 0.0000)  1 Tm 2.88, 5 Ho 2.89-2.90

---

A plane-wave DFT calculation with GGA-PBE was carried out for a relaxed HoTmAs2 crystal.

Properties
Theoretical density ... 8.16 g/cm³
Space-group type ... R3m (160)
Formation energy ... -1362.0 meV/atom
E ... -5.95 eV per atom

a = 7.3229 Å, b = 7.3229 Å, c = 7.3229 Å
α = 32.08°, β = 32.08°, γ = 32.08°
With the nearest neighbours (Å) after each atom.
Fractional coordinates of all 4 atoms:
Ho (0.0000, 0.0000, 0.0000)  6 As 2.87-2.93
Tm (0.8288, 0.8288, 0.8288)  6 As 2.89-2.94
As (0.4136, 0.4136, 0.4136)  3 Ho 2.87, 3 Tm 2.89
As (0.5814, 0.5814, 0.5814)  3 Ho 2.93, 3 Tm 2.94